No. 1
Entry from Alexandria: an optimized crystal structure of CdFe2Pb (PBE).

Lattice parameters (Å, degrees): 3.1581 3.1581 7.6210 90.00 90.00 90.00
With the nearest neighbours (Å) after each atom.
Atoms (fractional coordinates):
1 Cd 0.5000 0.5000 0.8160  5 Fe 2.82-2.86
2 Fe 0.0000 0.0000 0.0499  4 Fe 2.46
3 Fe 0.5000 0.5000 0.1854  4 Fe 2.46
4 Pb 0.0000 0.0000 0.4487  5 Fe 3.00-3.04, 4 Pb 3.16

## Properties
**Energy**: -5.0787 eV per atom
**V**: 76.0 Å³/cell
**Energy of formation**: 0.308 eV per atom
**Magnetization**: 5.01 Bohr magnetons per cell


No. 2
Entry from Alexandria: an optimized crystal structure of TlCd2FePb (PBE).

Lattice parameters (Å, degrees): 5.4623 5.0737 5.4623 90.00 90.00 90.00
With the nearest neighbours (Å) after each atom.
Atoms (fractional coordinates):
1 Pb 0.5000 0.5000 0.5000  8 Cd 3.73, 4 Fe 3.86
2 Tl 0.0000 0.0000 0.0000  2 Fe 2.54, 4 Cd 2.73
3 Fe 0.0000 0.5000 0.0000  2 Tl 2.54
4 Cd 0.0000 0.0000 0.5000  2 Tl 2.73
5 Cd 0.5000 0.0000 0.0000  2 Tl 2.73

## Properties
**Energy**: -2.4209 eV per atom
**V**: 151.4 Å³/cell
**Energy of formation**: 0.853 eV per atom
**Magnetization**: 3.10 Bohr magnetons per cell